DFT (PBE) results for a relaxed La3AgPb2 crystal.

Properties
Space group = Pnma (62)
Electronic total energy = -112.39 eV/cell

abc: 13.017 4.831 12.281
angles: 90.00 90.00 90.00
Element x y z (fractional)
La 0.047 0.250 0.133
La 0.137 0.750 0.565
La 0.224 0.250 0.805
La 0.276 0.750 0.305
La 0.363 0.250 0.065
La 0.453 0.750 0.633
La 0.547 0.250 0.367
La 0.637 0.750 0.935
La 0.724 0.250 0.695
La 0.776 0.750 0.195
La 0.863 0.250 0.435
La 0.953 0.750 0.867
Ag 0.122 0.250 0.385
Ag 0.378 0.750 0.885
Ag 0.622 0.250 0.115
Ag 0.878 0.750 0.615
Pb 0.003 0.750 0.319
Pb 0.180 0.750 0.010
Pb 0.320 0.250 0.510
Pb 0.497 0.250 0.819
Pb 0.503 0.750 0.181
Pb 0.680 0.750 0.490
Pb 0.820 0.250 0.990
Pb 0.997 0.250 0.681

DFT (PBE) results for a relaxed La5Ag4Pb crystal.

Properties
Space group = P4/mmm (123)
Electronic total energy = -42.91 eV/cell

abc: 3.798 3.798 19.926
angles: 90.00 90.00 90.00
Element x y z (fractional)
La 0.000 0.000 0.000
La 0.000 0.000 0.194
La 0.000 0.000 0.390
La 0.000 0.000 0.610
La 0.000 0.000 0.806
Ag 0.500 0.500 0.098
Ag 0.500 0.500 0.289
Ag 0.500 0.500 0.711
Ag 0.500 0.500 0.902
Pb 0.500 0.500 0.500

DFT (PBE) results for a relaxed La2AgPb crystal.

Properties
Space group = F-43m (216)
Electronic total energy = -66.08 eV/cell

abc: 7.713 7.713 7.713
angles: 90.00 90.00 90.00
Element x y z (fractional)
La 0.000 0.000 0.000
La 0.000 0.500 0.500
La 0.250 0.250 0.250
La 0.250 0.750 0.750
La 0.500 0.000 0.500
La 0.500 0.500 0.000
La 0.750 0.250 0.750
La 0.750 0.750 0.250
Ag 0.250 0.250 0.750
Ag 0.250 0.750 0.250
Ag 0.750 0.250 0.250
Ag 0.750 0.750 0.750
Pb 0.000 0.000 0.500
Pb 0.000 0.500 0.000
Pb 0.500 0.000 0.000
Pb 0.500 0.500 0.500

DFT (PBE) results for a relaxed La2AgPb crystal.

Properties
Space group = Pmm2 (25)
Electronic total energy = -18.11 eV/cell

abc: 4.132 5.424 5.424
angles: 90.00 90.00 90.00
Element x y z (fractional)
La 0.000 0.000 0.000
La 0.000 0.500 0.500
Ag 0.500 0.000 0.501
Pb 0.500 0.500 0.000

DFT (PBE) results for a relaxed LaAgPb2 crystal.

Properties
Space group = P2/m (10)
Electronic total energy = -16.16 eV/cell

abc: 3.625 4.883 6.517
angles: 90.00 95.56 90.00
Element x y z (fractional)
La 0.000 0.000 0.000
Ag 0.500 0.000 0.500
Pb 0.378 0.500 0.739
Pb 0.622 0.500 0.261

DFT (PBE) results for a relaxed LaAgPb2 crystal.

Properties
Space group = I-4m2 (119)
Electronic total energy = -32.71 eV/cell

abc: 4.764 4.764 9.897
angles: 90.00 90.00 90.00
Element x y z (fractional)
La 0.000 0.000 0.000
La 0.500 0.500 0.500
Ag 0.000 0.500 0.250
Ag 0.500 0.000 0.750
Pb 0.000 0.000 0.500
Pb 0.000 0.500 0.750
Pb 0.500 0.000 0.250
Pb 0.500 0.500 0.000

DFT (PBE) results for a relaxed LaAg3Pb crystal.

Properties
Space group = Pm-3m (221)
Relative energy among the computed polymorphs = 0.000 eV per atom

abc: 5.293 5.293 5.293
angles: 90.00 90.00 90.00
Element x y z (fractional)
La 0.000 0.000 0.000
Ag 0.000 0.500 0.500
Ag 0.500 0.000 0.500
Ag 0.500 0.500 0.000
Pb 0.500 0.500 0.500

DFT (PBE) results for a relaxed La4Ag2Pb crystal.

Properties
Space group = R-3m (166)
Electronic total energy = -30.78 eV/cell

abc: 9.159 9.159 9.159
angles: 34.47 34.47 34.47
Element x y z (fractional)
La 0.114 0.114 0.114
La 0.368 0.368 0.368
La 0.632 0.632 0.632
La 0.886 0.886 0.886
Ag 0.242 0.242 0.242
Ag 0.758 0.758 0.758
Pb 0.500 0.500 0.500

DFT (PBE) results for a relaxed LaAgPb2 crystal.

Properties
Space group = I-42d (122)
Electronic total energy = -62.49 eV/cell

abc: 4.860 4.860 21.190
angles: 90.00 90.00 90.00
Element x y z (fractional)
La 0.000 0.000 0.000
La 0.000 0.500 0.250
La 0.500 0.000 0.750
La 0.500 0.500 0.500
Ag 0.000 0.000 0.500
Ag 0.000 0.500 0.750
Ag 0.500 0.000 0.250
Ag 0.500 0.500 0.000
Pb 0.205 0.250 0.625
Pb 0.250 0.705 0.875
Pb 0.250 0.795 0.375
Pb 0.295 0.250 0.125
Pb 0.705 0.750 0.125
Pb 0.750 0.205 0.375
Pb 0.750 0.295 0.875
Pb 0.795 0.750 0.625

DFT (PBE) results for a relaxed LaAg3Pb crystal.

Properties
Space group = Pm-3m (221)
Relative energy among the computed polymorphs = 0.486 eV per atom

abc: 5.602 5.602 5.602
angles: 90.00 90.00 90.00
Element x y z (fractional)
La 0.000 0.000 0.000
Ag 0.000 0.000 0.500
Ag 0.000 0.500 0.000
Ag 0.500 0.000 0.000
Pb 0.500 0.500 0.500

DFT (PBE) results for a relaxed LaAgPb2 crystal.

Properties
Space group = Pmmm (47)
Electronic total energy = -15.87 eV/cell

abc: 3.416 4.431 7.338
angles: 90.00 90.00 90.00
Element x y z (fractional)
La 0.000 0.000 0.000
Ag 0.000 0.000 0.500
Pb 0.500 0.500 0.283
Pb 0.500 0.500 0.717

DFT (PBE) results for a relaxed La2AgPb crystal.

Properties
Space group = I-42d (122)
Electronic total energy = -68.28 eV/cell

abc: 8.690 8.690 6.727
angles: 90.00 90.00 90.00
Element x y z (fractional)
La 0.228 0.250 0.125
La 0.250 0.728 0.375
La 0.250 0.772 0.875
La 0.272 0.250 0.625
La 0.728 0.750 0.625
La 0.750 0.228 0.875
La 0.750 0.272 0.375
La 0.772 0.750 0.125
Ag 0.000 0.000 0.000
Ag 0.000 0.500 0.250
Ag 0.500 0.000 0.750
Ag 0.500 0.500 0.500
Pb 0.000 0.000 0.500
Pb 0.000 0.500 0.750
Pb 0.500 0.000 0.250
Pb 0.500 0.500 0.000

DFT (PBE) results for a relaxed LaAgPb2 crystal.

Properties
Space group = Pmm2 (25)
Electronic total energy = -15.95 eV/cell

abc: 3.711 4.484 6.875
angles: 90.00 90.00 90.00
Element x y z (fractional)
La 0.000 0.000 0.000
Ag 0.500 0.500 0.736
Pb 0.000 0.000 0.515
Pb 0.500 0.500 0.258

DFT (PBE) results for a relaxed La6AgPb crystal.

Properties
Space group = I4/mmm (139)
Electronic total energy = -75.46 eV/cell

abc: 5.422 5.422 18.203
angles: 90.00 90.00 90.00
Element x y z (fractional)
La 0.000 0.000 0.249
La 0.000 0.000 0.751
La 0.000 0.500 0.111
La 0.000 0.500 0.389
La 0.000 0.500 0.611
La 0.000 0.500 0.889
La 0.500 0.000 0.111
La 0.500 0.000 0.389
La 0.500 0.000 0.611
La 0.500 0.000 0.889
La 0.500 0.500 0.251
La 0.500 0.500 0.749
Ag 0.000 0.000 0.500
Ag 0.500 0.500 0.000
Pb 0.000 0.000 0.000
Pb 0.500 0.500 0.500

DFT (PBE) results for a relaxed La5Ag2Pb crystal.

Properties
Space group = I4/mcm (140)
Electronic total energy = -72.85 eV/cell

abc: 9.175 9.175 9.175
angles: 124.16 124.16 82.93
Element x y z (fractional)
La 0.000 0.000 0.000
La 0.009 0.509 0.814
La 0.195 0.009 0.500
La 0.305 0.805 0.814
La 0.491 0.305 0.500
La 0.500 0.500 0.000
La 0.509 0.695 0.500
La 0.695 0.195 0.186
La 0.805 0.991 0.500
La 0.991 0.491 0.186
Ag 0.131 0.369 0.500
Ag 0.369 0.869 0.237
Ag 0.631 0.131 0.763
Ag 0.869 0.631 0.500
Pb 0.250 0.250 0.000
Pb 0.750 0.750 0.000

DFT (PBE) results for a relaxed LaAgPb2 crystal.

Properties
Space group = P4/mmm (123)
Electronic total energy = -16.66 eV/cell

abc: 4.868 4.868 4.706
angles: 90.00 90.00 90.00
Element x y z (fractional)
La 0.000 0.000 0.000
Ag 0.500 0.500 0.000
Pb 0.000 0.500 0.500
Pb 0.500 0.000 0.500

DFT (PBE) results for a relaxed La5Ag2Pb5 crystal.

Properties
Space group = C2/m (12)
Electronic total energy = -55.13 eV/cell

abc: 8.861 8.861 11.414
angles: 127.26 127.26 31.93
Element x y z (fractional)
La 0.000 0.000 0.000
La 0.110 0.110 0.420
La 0.190 0.190 0.827
La 0.810 0.810 0.173
La 0.890 0.890 0.580
Ag 0.358 0.358 0.755
Ag 0.642 0.642 0.245
Pb 0.256 0.256 0.316
Pb 0.436 0.436 0.142
Pb 0.500 0.500 0.500
Pb 0.564 0.564 0.858
Pb 0.744 0.744 0.684

DFT (PBE) results for a relaxed LaAg2Pb2 crystal.

Properties
Space group = I4/mmm (139)
Relative energy among the computed polymorphs = 0.000 eV per atom

abc: 4.628 4.628 12.632
angles: 90.00 90.00 90.00
Element x y z (fractional)
La 0.000 0.000 0.000
La 0.500 0.500 0.500
Ag 0.000 0.500 0.250
Ag 0.000 0.500 0.750
Ag 0.500 0.000 0.250
Ag 0.500 0.000 0.750
Pb 0.000 0.000 0.383
Pb 0.000 0.000 0.617
Pb 0.500 0.500 0.117
Pb 0.500 0.500 0.883

DFT (PBE) results for a relaxed La6AgPb5 crystal.

Properties
Space group = Cmmm (65)
Electronic total energy = -57.29 eV/cell

abc: 8.395 8.395 8.909
angles: 90.00 90.00 143.33
Element x y z (fractional)
La 0.000 0.000 0.245
La 0.000 0.000 0.755
La 0.333 0.667 0.244
La 0.333 0.667 0.756
La 0.667 0.333 0.244
La 0.667 0.333 0.756
Ag 0.500 0.500 0.000
Pb 0.160 0.840 0.000
Pb 0.167 0.833 0.500
Pb 0.500 0.500 0.500
Pb 0.833 0.167 0.500
Pb 0.840 0.160 0.000

DFT (PBE) results for a relaxed LaAgPb2 crystal.

Properties
Space group = R3m (160)
Electronic total energy = -45.66 eV/cell

abc: 3.570 3.570 31.919
angles: 90.00 90.00 120.00
Element x y z (fractional)
La 0.000 0.000 0.000
La 0.333 0.667 0.667
La 0.667 0.333 0.333
Ag 0.000 0.000 0.254
Ag 0.333 0.667 0.921
Ag 0.667 0.333 0.587
Pb 0.000 0.000 0.514
Pb 0.000 0.000 0.758
Pb 0.333 0.667 0.180
Pb 0.333 0.667 0.425
Pb 0.667 0.333 0.091
Pb 0.667 0.333 0.847